# 1
Here is a geometry-optimized CdFeMo2 structure from Alexandria. Energies are from PBE-GGA.

Unit cell a=7.1806 b=7.1806 c=5.7126 alpha=51.06 beta=51.06 gamma=90.00
Element x y z (fractional)
Cd: 0.7500 0.2500 0.5000
Cd: 0.0000 0.0000 0.0000
Mo: 0.1902 0.6250 0.2500
Mo: 0.8750 0.8098 0.7500
Mo: 0.3750 0.4402 0.7500
Mo: 0.5598 0.1250 0.2500
Fe: 0.2500 0.7500 0.5000
Fe: 0.5000 0.5000 0.0000

As for the mass density: 8.86 Mg/m³. The total energy is -0.2590 Ha/atom. The value obtained for the calculated formation energy is 0.712 eV/atom. The calculation puts the total magnetic moment at 0.000 μB per atom.



# 2
Here is a geometry-optimized MgFe2TcSn structure from Alexandria. Energies are from PBE-GGA.

Unit cell a=4.8353 b=5.0599 c=4.8353 alpha=90.00 beta=90.00 gamma=90.00
Site moments in Bohr magnetons follow the coordinates.
Element x y z (fractional)
Fe: 0.0000 0.0000 0.5000  2.75
Fe: 0.5000 0.0000 0.0000  2.90
Mg: 0.0000 0.5000 0.0000  -0.01
Tc: 0.5000 0.5000 0.5000  3.14
Sn: 0.0000 0.0000 0.0000  -0.03

As for the mass density: 4.95 Mg/m³. The total energy is -0.1812 Ha/atom. The value obtained for the calculated formation energy is 1.646 eV/atom. The calculation puts the total magnetic moment at 1.796 μB per atom.



# 3
Here is a geometry-optimized LiTa2Cl8 structure from Alexandria. Energies are from PBE-GGA.

Unit cell a=6.7067 b=7.2764 c=7.2764 alpha=53.33 beta=87.44 gamma=87.44
Site moments in Bohr magnetons follow the coordinates.
Element x y z (fractional)
Cl: 0.7897 0.6393 0.6393  0.01
Cl: 0.3472 0.8857 0.3781  0.01
Cl: 0.2103 0.3607 0.3607  0.01
Cl: 0.6528 0.1143 0.6219  0.01
Cl: 0.1935 0.8500 0.8500  0.00
Cl: 0.6528 0.6219 0.1143  0.01
Cl: 0.3472 0.3781 0.8857  0.01
Cl: 0.8065 0.1500 0.1500  0.00
Ta: 0.4951 0.2522 0.2522  0.30
Ta: 0.5049 0.7478 0.7478  0.30
Li: 0.0000 0.0000 0.0000  0.00

As for the mass density: 3.81 Mg/m³. The total energy is -0.1802 Ha/atom. For the raw formation energy, the calculation gives -119 kJ/mol of atoms. The calculation puts the total magnetic moment at 0.085 μB per atom.